Compound: TlCrMoF6
Source: Alexandria via LeMat-Bulk
Functional: PBE+U
Structure: relaxed

Results
total DFT energy (no corrections) = -5.4631 eV/atom
spin magnetization = 0.78 μB per atom

a = 5.7665 Å, b = 5.7665 Å, c = 11.7234 Å
α = 90.00°, β = 90.00°, γ = 120.00°
Space group P-31c (No. 163)
Symmetry-distinct sites (fractional):
Tl (0.0000, 0.0000, 0.0000) (multiplicity 2)
Cr (0.3333, 0.6667, 0.2500) (multiplicity 2)
Mo (0.3333, 0.6667, 0.7500) (multiplicity 2)
F (0.0045, 0.3724, 0.6561) (multiplicity 12)